# 1
Material: PdRh3F
Method: DFT, PBE-GGA
State: relaxed

E_tot (eV per atom): -4.303

Cell lengths 4.8209, 4.8209, 4.8209 Å; angles 90.00, 90.00, 90.00 degrees
Fractional positions:
Pd (0.0000, 0.0000, 0.0000)
Rh (0.0000, 0.0000, 0.5000)
Rh (0.0000, 0.5000, 0.0000)
Rh (0.5000, 0.0000, 0.0000)
F (0.5000, 0.5000, 0.5000)



# 2
Material: Pd2RhF8
Method: DFT, PBE-GGA
State: relaxed

E_tot (eV per atom): -4.144

Cell lengths 6.5818, 6.5818, 4.1855 Å; angles 90.00, 90.00, 120.00 degrees
Fractional positions:
Pd (0.3333, 0.6667, 0.2914)
Pd (0.6667, 0.3333, 0.7086)
Rh (0.0000, 0.0000, 0.5000)
F (0.1438, 0.2901, 0.2493)
F (0.1463, 0.8562, 0.2493)
F (0.2901, 0.1463, 0.7507)
F (0.3333, 0.6667, 0.7886)
F (0.6667, 0.3333, 0.2114)
F (0.7099, 0.8537, 0.2493)
F (0.8537, 0.1438, 0.7507)
F (0.8562, 0.7099, 0.7507)



> What is the E_tot in the second record?

-4.144 eV per atom



Please write out number 1 again, unchanged.
Material: PdRh3F
Method: DFT, PBE-GGA
State: relaxed

E_tot (eV per atom): -4.303

Cell lengths 4.8209, 4.8209, 4.8209 Å; angles 90.00, 90.00, 90.00 degrees
Fractional positions:
Pd (0.0000, 0.0000, 0.0000)
Rh (0.0000, 0.0000, 0.5000)
Rh (0.0000, 0.5000, 0.0000)
Rh (0.5000, 0.0000, 0.0000)
F (0.5000, 0.5000, 0.5000)